Here is a relaxed Ti5Fe2TcMo2 crystal from Alexandria via LeMat-Bulk. Energies are from GGA-PBE.

a = 3.1048 Å, b = 9.8701 Å, c = 9.8701 Å
α = 90.00°, β = 90.00°, γ = 90.00°
With the nearest neighbours (Å) after each atom.
Fractional positions:
Mo1 0.0000 0.1777 0.3223  1 Fe 2.72, 10 Ti 2.93-3.04
Mo2 0.0000 0.3223 0.8223  1 Fe 2.72, 10 Ti 2.93-3.04
Mo3 0.0000 0.6777 0.1777  1 Fe 2.72, 10 Ti 2.93-3.04
Mo4 0.0000 0.8223 0.6777  1 Fe 2.72, 10 Ti 2.93-3.04
Fe1 0.0000 0.3724 0.1276  6 Ti 2.36-2.37
Fe2 0.0000 0.8724 0.3724  6 Ti 2.36-2.37
Fe3 0.0000 0.6276 0.8724  6 Ti 2.36-2.37
Fe4 0.0000 0.1276 0.6276  6 Ti 2.36-2.37
Ti1 0.5000 0.5591 0.7040  2 Fe 2.37, 2 Tc 2.61
Ti2 0.5000 0.2040 0.0591  2 Fe 2.37, 2 Tc 2.61
Ti3 0.5000 0.9409 0.2040  2 Fe 2.37, 2 Tc 2.61
Ti4 0.5000 0.4409 0.2960  2 Fe 2.37, 2 Tc 2.61
Ti5 0.5000 0.2960 0.5591  2 Fe 2.37, 2 Tc 2.61
Ti6 0.5000 0.0591 0.7960  2 Fe 2.37, 2 Tc 2.61
Ti7 0.5000 0.7040 0.4409  2 Fe 2.37, 2 Tc 2.61
Ti8 0.5000 0.7960 0.9409  2 Fe 2.37, 2 Tc 2.61
Ti9 0.5000 0.5000 0.0000  4 Fe 2.36
Ti10 0.5000 0.0000 0.5000  4 Fe 2.36
Tc1 0.0000 0.5000 0.5000  8 Ti 2.61
Tc2 0.0000 0.0000 0.0000  8 Ti 2.61

As for the space group: No. 127. For the total energy, the calculation gives -8.8922 eV per atom.